Entry 1:
A plane-wave DFT calculation with PBE was carried out for a geometry-optimized AlClF3 structure.

Output
The value obtained for the energy above the most stable polymorph in this dataset is 0.000 eV/atom. Its space-group type is Pm-3m. The value obtained for the density is 3.5 g cm⁻³. The value obtained for the formation energy without anion corrections is -2.17 eV/atom.

abc: 3.8577 3.8577 3.8577
angles: 90.00 90.00 90.00
Closest atoms and distances in Å follow each position.
Positions (direct):
F 0.0000 0.5000 0.0000  2 Al 1.93
Al 0.0000 0.0000 0.0000  6 F 1.93
F 0.5000 0.0000 0.0000  2 Al 1.93
F 0.0000 0.0000 0.5000  2 Al 1.93
Cl 0.5000 0.5000 0.5000  12 F 2.73

---

Entry 2:
A plane-wave DFT calculation with PBE was carried out for a geometry-optimized NdHoCdTc structure.

Output
Its space-group type is F-43m. The energy of formation comes out at -0.033 eV per atom. The value obtained for the density is 9.1 g cm⁻³.

abc: 5.1101 5.1101 5.1101
angles: 60.00 60.00 60.00
Closest atoms and distances in Å follow each position.
Positions (direct):
Nd 0.2500 0.2500 0.2500  4 Cd 3.13, 4 Tc 3.13
Tc 0.0000 0.0000 0.0000  4 Ho 3.13, 4 Nd 3.13
Ho 0.7500 0.7500 0.7500  4 Tc 3.13, 4 Cd 3.13
Cd 0.5000 0.5000 0.5000  4 Ho 3.13, 4 Nd 3.13

---

Entry 3:
A plane-wave DFT calculation with PBE was carried out for a geometry-optimized Pm2SmCd3 structure.

Output
Its space-group type is P4/mmm. The energy of formation comes out at -0.318 eV per atom. The value obtained for the density is 7.7 g cm⁻³.

abc: 3.8220 3.8220 11.5055
angles: 90.00 90.00 90.00
Closest atoms and distances in Å follow each position.
Positions (direct):
Pm 0.5000 0.5000 0.8326  8 Cd 3.32
Cd 0.0000 0.0000 0.3351  4 Sm 3.30, 4 Pm 3.32
Pm 0.5000 0.5000 0.1674  8 Cd 3.32
Sm 0.5000 0.5000 0.5000  8 Cd 3.30
Cd 0.0000 0.0000 0.6649  4 Sm 3.30, 4 Pm 3.32
Cd 0.0000 0.0000 0.0000  8 Pm 3.32

---

Entry 4:
A plane-wave DFT calculation with PBE was carried out for a geometry-optimized BeNb3Sn structure.

Output
The value obtained for the energy above the most stable polymorph in this dataset is 1.738 eV/atom. Its space-group type is Pm-3m. The energy of formation comes out at 1.997 eV per atom. The value obtained for the density is 5.3 g cm⁻³.

abc: 5.0268 5.0268 5.0268
angles: 90.00 90.00 90.00
Closest atoms and distances in Å follow each position.
Positions (direct):
Nb 0.0000 0.0000 0.5000  2 Sn 2.51
Nb 0.0000 0.5000 0.0000  2 Sn 2.51
Sn 0.0000 0.0000 0.0000  6 Nb 2.51
Nb 0.5000 0.0000 0.0000  2 Sn 2.51
Be 0.5000 0.5000 0.5000  12 Nb 3.55